# GaTcH5

GaTcH5 after structural relaxation (PBE, Alexandria).

abc: 3.500 4.357 4.357
angles: 80.35 66.79 66.79
Element x y z (fractional)
Ga (0.706, 0.059, 0.059)
Tc (0.549, 0.492, 0.492)
H (0.009, 0.219, 0.219)
H (0.968, 0.573, 0.573)
H (0.251, 0.803, 0.803)
H (0.523, 0.133, 0.720)
H (0.523, 0.720, 0.133)

Results
E = -4.030 eV per atom